First-principles (PBE-GGA) data for a relaxed structure of TlZnAs3, as listed in the Alexandria database.

Calculated values
Relative energy among the computed polymorphs = 0 meV/atom
Formation energy = 0.552 eV/atom

Lattice parameters (Å, degrees): 4.9826 4.9826 4.9826 90.00 90.00 90.00
Closest atoms and distances in Å follow each position.
Fractional positions:
Tl 0.0000 0.0000 0.0000  12 As 3.52
Zn 0.5000 0.5000 0.5000  6 As 2.49
As 0.0000 0.5000 0.5000  2 Zn 2.49
As 0.5000 0.0000 0.5000  2 Zn 2.49
As 0.5000 0.5000 0.0000  2 Zn 2.49